Entry 1:
Density functional theory data (PBE-GGA) for a relaxed V7Ni12Ir crystal.

Properties
Spin magnetization in Bohr magnetons per cell: 0.001
DFT formation energy in meV/atom: -115

Lattice parameters (Å, degrees): 6.622 6.622 6.622 106.84 106.84 106.84
Element x y z (fractional)
V 0.000 0.000 0.000
V 0.063 0.380 0.290
V 0.290 0.063 0.380
V 0.380 0.290 0.063
V 0.620 0.710 0.937
V 0.710 0.937 0.620
V 0.937 0.620 0.710
Ni 0.011 0.679 0.121
Ni 0.121 0.011 0.679
Ni 0.227 0.418 0.696
Ni 0.304 0.773 0.582
Ni 0.321 0.879 0.989
Ni 0.418 0.696 0.227
Ni 0.582 0.304 0.773
Ni 0.679 0.121 0.011
Ni 0.696 0.227 0.418
Ni 0.773 0.582 0.304
Ni 0.879 0.989 0.321
Ni 0.989 0.321 0.879
Ir 0.500 0.500 0.500

---

Entry 2:
Density functional theory data (PBE-GGA) for a relaxed VNiIr3 crystal.

Properties
Spin magnetization in Bohr magnetons per cell: 0.000
Excess energy over the best structure of this formula in the dataset in eV/f.u.: 0.00
DFT formation energy in meV/atom: -306

Lattice parameters (Å, degrees): 4.653 4.255 7.217 90.00 108.32 90.00
Element x y z (fractional)
V 0.237 0.250 0.305
V 0.763 0.750 0.695
Ni 0.437 0.250 0.699
Ni 0.563 0.750 0.301
Ir 0.033 0.250 0.891
Ir 0.188 0.750 0.507
Ir 0.384 0.750 0.895
Ir 0.616 0.250 0.105
Ir 0.812 0.250 0.493
Ir 0.967 0.750 0.109